# CrTcO

CrTcO after structural relaxation (GGA+U, Alexandria).

The structure belongs to space group Cm (No. 8); the cell edges are 12.142, 2.788 and 4.524 Å and the angles 90.00°, 90.12° and 90.00°. Symmetry generates all atoms from Cr at (0.000, 0.000, 0.000), Cr at (0.092, 0.500, 0.531), Tc at (0.305, 0.000, 0.025), Tc at (0.388, 0.500, 0.503), O at (0.148, 0.000, 0.820) and O at (0.236, 0.500, 0.306).

Its magnetic moment is 2.1 μB per cell. The energy above the most stable polymorph in this dataset is 0.000 eV/atom. The calculation puts the density of states at the Fermi level at 1.7 states/eV/f.u. As for the total energy: -12.323 eV per atom.